## SeBr2Cl (PBE)

Data for a relaxed structure of SeBr2Cl.

Values from the calculation:
SG   No. 8
Total energy   -2.218 eV per atom
Energy above the lowest structure with this stoichiometry   0.010 eV per atom

a = 5.2799 Å, b = 5.2799 Å, c = 7.5040 Å
α = 95.76°, β = 95.76°, γ = 109.22°
Last column: nearest neighbours and their distance in Å.
Fractional coordinates of all 4 atoms:
Se1 0.0000 0.0000 0.0000  1 Cl 2.29, 1 Br 2.36
Br1 0.2705 0.2705 0.3073  1 Se 2.59
Br2 0.6787 0.6787 0.1356  1 Se 2.36
Cl1 0.8228 0.8228 0.7046  1 Se 2.29